Record 1
## Sr3SbSe4 (PBE)

Data for a relaxed structure of Sr3SbSe4.

Output
For the formation energy (no corrections), the calculation gives -1168 kJ/mol of formula units. As for the symmetry: Pmmn (59).

a b c (Å): 6.284 6.284 12.331
angles (deg): 90.00 90.00 90.00
Last column: magnetic moment on the atom in μB.
Atoms (fractional coordinates):
Sr 0.564 0.751 0.000  0.00
Sr 0.065 0.750 0.250  0.00
Sr 0.565 0.250 0.250  0.00
Sr 0.064 0.249 0.500  0.00
Sr 0.565 0.250 0.750  0.00
Sr 0.065 0.750 0.750  0.00
Sb 0.064 0.250 0.000  0.15
Sb 0.564 0.750 0.500  0.15
Se 0.064 0.751 0.000  0.02
Se 0.565 0.251 0.000  0.02
Se 0.065 0.250 0.242  0.00
Se 0.565 0.750 0.258  0.00
Se 0.065 0.749 0.500  0.02
Se 0.564 0.249 0.500  0.02
Se 0.565 0.750 0.742  0.00
Se 0.065 0.250 0.758  0.00

Record 2
## Sr2SbSe4 (PBE)

Data for a relaxed structure of Sr2SbSe4.

Output
For the formation energy (no corrections), the calculation gives -789 kJ/mol of formula units. As for the symmetry: C2/m (12).

a b c (Å): 4.267 8.580 8.377
angles (deg): 136.40 104.75 90.00
Atoms (fractional coordinates):
Sr 0.667 0.666 0.333
Sr 0.333 0.334 0.667
Sb 0.000 0.000 0.000
Se 0.942 0.241 0.885
Se 0.058 0.759 0.115
Se 0.668 0.299 0.337
Se 0.332 0.701 0.663

Record 3
## SrSbSe3 (PBE)

Data for a relaxed structure of SrSbSe3.

Output
For the formation energy (no corrections), the calculation gives 150 kJ/mol of formula units. The value obtained for the relative energy among the computed polymorphs is 1140 meV/atom. As for the symmetry: Pm-3m (221).

a b c (Å): 5.668 5.668 5.668
angles (deg): 90.00 90.00 90.00
Atoms (fractional coordinates):
Sb 0.500 0.500 0.500
Se 0.000 0.500 0.000
Se 0.000 0.000 0.500
Se 0.500 0.000 0.000
Sr 0.000 0.000 0.000

Record 4
## SrSbSe3 (PBE)

Data for a relaxed structure of SrSbSe3.

Output
For the formation energy (no corrections), the calculation gives -400 kJ/mol of formula units. The value obtained for the relative energy among the computed polymorphs is 0 meV/atom. As for the symmetry: P2_1/m (11).

a b c (Å): 4.222 8.104 8.582
angles (deg): 96.98 90.00 90.00
Atoms (fractional coordinates):
Sr 0.250 0.340 0.200
Sr 0.750 0.660 0.800
Sb 0.250 0.825 0.354
Sb 0.750 0.175 0.646
Se 0.750 0.610 0.423
Se 0.250 0.390 0.577
Se 0.750 0.316 0.939
Se 0.250 0.940 0.693
Se 0.250 0.684 0.061
Se 0.750 0.060 0.307

Record 5
## Sr2SbSe (PBE)

Data for a relaxed structure of Sr2SbSe.

Output
For the formation energy (no corrections), the calculation gives -508 kJ/mol of formula units. The value obtained for the relative energy among the computed polymorphs is 79 meV/atom. As for the symmetry: Cmmm (65).

a b c (Å): 3.828 3.828 8.304
angles (deg): 90.00 90.00 90.08
Atoms (fractional coordinates):
Sb 0.500 0.500 0.250
Se 0.500 0.500 0.750
Sr 0.000 0.000 0.977
Sr 0.000 0.000 0.523

Record 6
## SrSbSe2 (PBE)

Data for a relaxed structure of SrSbSe2.

Output
For the formation energy (no corrections), the calculation gives -296 kJ/mol of formula units. As for the symmetry: I-4m2 (119).

a b c (Å): 6.817 6.817 6.817
angles (deg): 143.69 143.69 52.30
Atoms (fractional coordinates):
Sb 0.750 0.250 0.500
Se 0.000 0.000 0.000
Se 0.250 0.750 0.500
Sr 0.500 0.500 0.000

| no. | M_tot (μB/atom) |
| --- | --- |
| 1 | 0.053 |
| 2 | 0.000 |
| 3 | 0.000 |
| 4 | 0.000 |
| 5 | 0.000 |
| 6 | 0.000 |